VASP calculation (PBE) on a geometry-optimized DyTaH4 structure.

Lattice parameters (Å, degrees): 3.402 3.402 4.768 90.00 90.00 90.00
Fractional coordinates of all 6 atoms:
H  0.000  0.500  0.711
H  0.500  0.000  0.289
H  0.000  0.500  0.289
H  0.500  0.000  0.711
Ta  0.500  0.500  0.500
Dy  0.000  0.000  0.000

Values from the calculation:
- DFT total energy (eV/atom) = -5.355
- mass density (g cm⁻³) = 10.5
- total moment (μB per formula unit) = 0.008
- symmetry = P4/mmm